## LiNbTeN2 (SCAN)

Data for a crystal of LiNbTeN2 relaxed with PBEsol.

abc: 3.8711 3.8711 4.4698
angles: 90.00 90.00 90.00
Closest atoms and distances in Å follow each position.
Fractional positions:
N 0.0000 0.5000 0.0000  2 Li 1.94
N 0.5000 0.0000 0.0000  2 Li 1.94
Nb 0.5000 0.5000 0.5000  4 Te 2.74, 8 N 2.96
Te 0.0000 0.0000 0.5000  2 Li 2.23
Li 0.0000 0.0000 0.0000  4 N 1.94

Results
Final energy = -16.7288 eV/atom
ΔE_f (raw) = 1542 meV/atom
M_tot = 0.0 μB/f.u.
Space group = P4/mmm, No. 123
Distance to the lowest polymorph of the same formula = 1.537 eV/atom
V = 67.0 Å³/cell
Density = 6.33 Mg/m³